# 1
Material: Th2CdPd9
Method: DFT, PBE-GGA
State: relaxed

```
data_Th2CdPd9
_chemical_formula_sum 'Th2 Cd1 Pd9'
_cell_length_a 4.188
_cell_length_b 4.188
_cell_length_c 12.303
_cell_angle_alpha 90.00
_cell_angle_beta 90.00
_cell_angle_gamma 90.00
_symmetry_space_group_name_H-M 'P 1'
_symmetry_Int_Tables_number 1
_symmetry_space_group_name_Hall 'P 1'
loop_
_atom_site_label
_atom_site_fract_x
_atom_site_fract_y
_atom_site_fract_z
Th1 0.000 0.000 0.176
Th2 0.000 0.000 0.824
Cd1 0.000 0.000 0.500
Pd1 0.000 0.500 0.000
Pd2 0.000 0.500 0.338
Pd3 0.000 0.500 0.662
Pd4 0.500 0.000 0.000
Pd5 0.500 0.000 0.338
Pd6 0.500 0.000 0.662
Pd7 0.500 0.500 0.168
Pd8 0.500 0.500 0.500
Pd9 0.500 0.500 0.832
```

Computed properties:
Calculated formation energy ... -758 meV per atom
Space-group type ... P4/mmm, No. 123
Magnetization ... 0.00 μB/cell
Calculated density ... 11.8 g cm⁻³
N(E_F) ... 3.3 states/eV/cell

# 2
Material: VFeNiRh
Method: DFT, PBE-GGA
State: relaxed

```
data_VFeNiRh
_chemical_formula_sum 'V1 Fe1 Ni1 Rh1'
_cell_length_a 4.140
_cell_length_b 4.140
_cell_length_c 4.140
_cell_angle_alpha 60.00
_cell_angle_beta 60.00
_cell_angle_gamma 60.00
_symmetry_space_group_name_H-M 'P 1'
_symmetry_Int_Tables_number 1
_symmetry_space_group_name_Hall 'P 1'
loop_
_atom_site_label
_atom_site_fract_x
_atom_site_fract_y
_atom_site_fract_z
V1 0.000 0.000 0.000
Fe1 0.750 0.750 0.750
Ni1 0.500 0.500 0.500
Rh1 0.250 0.250 0.250
```

Computed properties:
Calculated formation energy ... -110 meV per atom
Space-group type ... F-43m, No. 216
Magnetization ... 1.79 μB/cell
Calculated density ... 8.9 g cm⁻³
Polymorph energy (0 for the lowest one) ... 0.155 eV/atom
N(E_F) ... 3.8 states/eV/cell

# 3
Material: PmMgAl2
Method: DFT, PBE-GGA
State: relaxed

```
data_PmMgAl2
_chemical_formula_sum 'Pm4 Mg4 Al8'
_cell_length_a 6.887
_cell_length_b 4.714
_cell_length_c 11.164
_cell_angle_alpha 90.00
_cell_angle_beta 90.00
_cell_angle_gamma 90.00
_symmetry_space_group_name_H-M 'P 1'
_symmetry_Int_Tables_number 1
_symmetry_space_group_name_Hall 'P 1'
loop_
_atom_site_label
_atom_site_fract_x
_atom_site_fract_y
_atom_site_fract_z
Pm1 0.249 0.250 0.159
Pm2 0.251 0.750 0.659
Pm3 0.749 0.250 0.341
Pm4 0.751 0.750 0.841
Mg1 0.245 0.250 0.452
Mg2 0.255 0.750 0.952
Mg3 0.745 0.250 0.048
Mg4 0.755 0.750 0.548
Al1 0.057 0.750 0.359
Al2 0.059 0.250 0.864
Al3 0.441 0.750 0.364
Al4 0.443 0.250 0.859
Al5 0.557 0.750 0.141
Al6 0.559 0.250 0.636
Al7 0.941 0.750 0.136
Al8 0.943 0.250 0.641
```

Computed properties:
Calculated formation energy ... -292 meV per atom
Space-group type ... Pnma, No. 62
Magnetization ... 0.00 μB/cell
Calculated density ... 4.1 g cm⁻³
Polymorph energy (0 for the lowest one) ... 0.019 eV/atom
N(E_F) ... 6.7 states/eV/cell

# 4
Material: MgScAu
Method: DFT, PBE-GGA
State: relaxed

```
data_MgScAu
_chemical_formula_sum 'Mg1 Sc1 Au1'
_cell_length_a 4.655
_cell_length_b 4.655
_cell_length_c 3.247
_cell_angle_alpha 90.00
_cell_angle_beta 90.00
_cell_angle_gamma 120.00
_symmetry_space_group_name_H-M 'P 1'
_symmetry_Int_Tables_number 1
_symmetry_space_group_name_Hall 'P 1'
loop_
_atom_site_label
_atom_site_fract_x
_atom_site_fract_y
_atom_site_fract_z
Mg1 0.000 0.000 0.000
Sc1 0.333 0.667 0.500
Au1 0.667 0.333 0.000
```

Computed properties:
Calculated formation energy ... -441 meV per atom
Space-group type ... P-6m2, No. 187
Magnetization ... 0.00 μB/cell
Calculated density ... 7.3 g cm⁻³
N(E_F) ... 2.8 states/eV/cell

# 5
Material: Be3In
Method: DFT, PBE-GGA
State: relaxed

```
data_Be3In
_chemical_formula_sum 'Be3 In1'
_cell_length_a 3.066
_cell_length_b 3.467
_cell_length_c 4.874
_cell_angle_alpha 90.00
_cell_angle_beta 90.00
_cell_angle_gamma 90.00
_symmetry_space_group_name_H-M 'P 1'
_symmetry_Int_Tables_number 1
_symmetry_space_group_name_Hall 'P 1'
loop_
_atom_site_label
_atom_site_fract_x
_atom_site_fract_y
_atom_site_fract_z
Be1 0.000 0.000 0.000
Be2 0.500 0.500 0.219
Be3 0.500 0.500 0.781
In1 0.000 0.000 0.500
```

Computed properties:
Calculated formation energy ... 555 meV per atom
Space-group type ... Pmmm, No. 47
Magnetization ... 0.00 μB/cell
Calculated density ... 4.5 g cm⁻³
Polymorph energy (0 for the lowest one) ... 0.323 eV/atom
N(E_F) ... 0.5 states/eV/cell

# 6
Material: Sr2DyAlSe5
Method: DFT, PBE-GGA
State: relaxed

```
data_Sr2DyAlSe5
_chemical_formula_sum 'Sr4 Dy2 Al2 Se10'
_cell_length_a 9.535
_cell_length_b 9.535
_cell_length_c 12.963
_cell_angle_alpha 90.00
_cell_angle_beta 90.00
_cell_angle_gamma 155.08
_symmetry_space_group_name_H-M 'P 1'
_symmetry_Int_Tables_number 1
_symmetry_space_group_name_Hall 'P 1'
loop_
_atom_site_label
_atom_site_fract_x
_atom_site_fract_y
_atom_site_fract_z
Sr1 0.118 0.882 0.500
Sr2 0.124 0.876 0.144
Sr3 0.876 0.124 0.644
Sr4 0.882 0.118 0.000
Dy1 0.207 0.793 0.846
Dy2 0.793 0.207 0.346
Al1 0.441 0.559 0.246
Al2 0.559 0.441 0.746
Se1 0.044 0.956 0.851
Se2 0.294 0.706 0.494
Se3 0.316 0.684 0.188
Se4 0.355 0.645 0.824
Se5 0.499 0.501 0.587
Se6 0.501 0.499 0.087
Se7 0.645 0.355 0.324
Se8 0.684 0.316 0.688
Se9 0.706 0.294 0.994
Se10 0.956 0.044 0.351
```

Computed properties:
Uncorrected formation energy ... -1.70 eV/atom
Space-group type ... Cmc2_1, No. 36
Magnetization ... 0.00 μB/cell
Calculated density ... 5.1 g cm⁻³
N(E_F) ... 0.0 states/eV/cell

# 7
Material: Cd4NiSe
Method: DFT, PBE-GGA
State: relaxed

```
data_Cd4NiSe
_chemical_formula_sum 'Cd4 Ni1 Se1'
_cell_length_a 5.688
_cell_length_b 5.688
_cell_length_c 5.688
_cell_angle_alpha 60.00
_cell_angle_beta 60.00
_cell_angle_gamma 60.00
_symmetry_space_group_name_H-M 'P 1'
_symmetry_Int_Tables_number 1
_symmetry_space_group_name_Hall 'P 1'
loop_
_atom_site_label
_atom_site_fract_x
_atom_site_fract_y
_atom_site_fract_z
Cd1 0.125 0.125 0.125
Cd2 0.125 0.125 0.626
Cd3 0.125 0.626 0.125
Cd4 0.626 0.125 0.125
Ni1 0.750 0.750 0.750
Se1 0.500 0.500 0.500
```

Computed properties:
Uncorrected formation energy ... 0.41 eV/atom
Space-group type ... F-43m, No. 216
Magnetization ... 0.00 μB/cell
Calculated density ... 7.5 g cm⁻³
N(E_F) ... 2.4 states/eV/cell

# 8
Material: SiH5Br4
Method: DFT, PBE-GGA
State: relaxed

```
data_SiH5Br4
_chemical_formula_sum 'Si1 H5 Br4'
_cell_length_a 6.695
_cell_length_b 6.695
_cell_length_c 6.695
_cell_angle_alpha 108.26
_cell_angle_beta 108.26
_cell_angle_gamma 111.92
_symmetry_space_group_name_H-M 'P 1'
_symmetry_Int_Tables_number 1
_symmetry_space_group_name_Hall 'P 1'
loop_
_atom_site_label
_atom_site_fract_x
_atom_site_fract_y
_atom_site_fract_z
Si1 0.000 0.000 0.000
H1 0.199 0.263 0.328
H2 0.263 0.934 0.063
H3 0.800 0.800 0.000
H4 0.871 0.199 0.937
H5 0.934 0.871 0.672
Br1 0.230 0.383 0.582
Br2 0.383 0.801 0.153
Br3 0.648 0.230 0.847
Br4 0.801 0.648 0.418
```

Computed properties:
Space-group type ... I4, No. 79
Magnetization ... 1.02 μB/cell
DFT total energy ... -2.72 eV per atom
Calculated density ... 2.5 g cm⁻³
N(E_F) ... 5.0 states/eV/cell

# 9
Material: BaGaAg2Au4
Method: DFT, PBE-GGA
State: relaxed

```
data_BaGaAg2Au4
_chemical_formula_sum 'Ba1 Ga1 Ag2 Au4'
_cell_length_a 9.757
_cell_length_b 9.757
_cell_length_c 9.757
_cell_angle_alpha 27.97
_cell_angle_beta 27.97
_cell_angle_gamma 27.97
_symmetry_space_group_name_H-M 'P 1'
_symmetry_Int_Tables_number 1
_symmetry_space_group_name_Hall 'P 1'
loop_
_atom_site_label
_atom_site_fract_x
_atom_site_fract_y
_atom_site_fract_z
Ba1 0.000 0.000 0.000
Ga1 0.500 0.500 0.500
Ag1 0.238 0.238 0.238
Ag2 0.762 0.762 0.762
Au1 0.132 0.132 0.132
Au2 0.407 0.407 0.407
Au3 0.593 0.593 0.593
Au4 0.868 0.868 0.868
```

Computed properties:
Calculated formation energy ... -243 meV per atom
Space-group type ... R-3m, No. 166
Magnetization ... 0.00 μB/cell
Calculated density ... 11.1 g cm⁻³
N(E_F) ... 2.1 states/eV/cell

# 10
Material: TcAgSn2
Method: DFT, PBE-GGA
State: relaxed

```
data_TcAgSn2
_chemical_formula_sum 'Tc1 Ag1 Sn2'
_cell_length_a 10.775
_cell_length_b 10.775
_cell_length_c 10.775
_cell_angle_alpha 16.24
_cell_angle_beta 16.24
_cell_angle_gamma 16.24
_symmetry_space_group_name_H-M 'P 1'
_symmetry_Int_Tables_number 1
_symmetry_space_group_name_Hall 'P 1'
loop_
_atom_site_label
_atom_site_fract_x
_atom_site_fract_y
_atom_site_fract_z
Tc1 0.000 0.000 0.000
Ag1 0.500 0.500 0.500
Sn1 0.086 0.086 0.086
Sn2 0.914 0.914 0.914
```

Computed properties:
Calculated formation energy ... 621 meV per atom
Space-group type ... R-3m, No. 166
Magnetization ... 1.12 μB/cell
Calculated density ... 8.6 g cm⁻³
Polymorph energy (0 for the lowest one) ... 0.446 eV/atom
N(E_F) ... 3.6 states/eV/cell

# 11
Material: Cs2HfIrCl6
Method: DFT, PBE-GGA
State: relaxed

```
data_Cs2HfIrCl6
_chemical_formula_sum 'Cs2 Hf1 Ir1 Cl6'
_cell_length_a 7.553
_cell_length_b 7.553
_cell_length_c 7.553
_cell_angle_alpha 112.82
_cell_angle_beta 112.82
_cell_angle_gamma 102.97
_symmetry_space_group_name_H-M 'P 1'
_symmetry_Int_Tables_number 1
_symmetry_space_group_name_Hall 'P 1'
loop_
_atom_site_label
_atom_site_fract_x
_atom_site_fract_y
_atom_site_fract_z
Cs1 0.250 0.750 0.500
Cs2 0.750 0.250 0.500
Hf1 0.000 0.000 0.000
Ir1 0.500 0.500 0.000
Cl1 0.210 0.210 0.420
Cl2 0.210 0.790 0.000
Cl3 0.259 0.259 0.000
Cl4 0.741 0.741 0.000
Cl5 0.790 0.210 0.000
Cl6 0.790 0.790 0.580
```

Computed properties:
Uncorrected formation energy ... -1.26 eV/atom
Space-group type ... I4/mmm, No. 139
Magnetization ... 1.00 μB/cell
Calculated density ... 4.3 g cm⁻³
N(E_F) ... 0.0 states/eV/cell

# 12
Material: TaTl2Cl5
Method: DFT, PBE-GGA
State: relaxed

```
data_TaTl2Cl5
_chemical_formula_sum 'Ta1 Tl2 Cl5'
_cell_length_a 6.676
_cell_length_b 6.676
_cell_length_c 7.355
_cell_angle_alpha 113.66
_cell_angle_beta 113.66
_cell_angle_gamma 84.94
_symmetry_space_group_name_H-M 'P 1'
_symmetry_Int_Tables_number 1
_symmetry_space_group_name_Hall 'P 1'
loop_
_atom_site_label
_atom_site_fract_x
_atom_site_fract_y
_atom_site_fract_z
Ta1 0.000 0.000 0.000
Tl1 0.294 0.294 0.726
Tl2 0.721 0.721 0.102
Cl1 0.256 0.879 0.822
Cl2 0.277 0.912 0.277
Cl3 0.736 0.736 0.685
Cl4 0.879 0.256 0.822
Cl5 0.912 0.277 0.277
```

Computed properties:
Uncorrected formation energy ... -0.93 eV/atom
Space-group type ... Cm, No. 8
Magnetization ... 0.00 μB/cell
Calculated density ... 4.6 g cm⁻³
N(E_F) ... 1.5 states/eV/cell